VASP calculation (PBE) on a relaxed structure of Pm3Be2SnPt9.

magnetic moment: 0.000 μB/atom
ρ: 12.99 g cm⁻³
DFT formation energy: -76.1 kJ/mol of atoms

Cell: 5.8968 5.8968 9.8816 Å, 90.00 90.00 120.00°
Last column: nearest neighbours and their distance in Å.
Positions (direct):
Pm  0.3333  0.6667  0.7246  9 Pt 2.95-3.21
Pm  0.0000  0.0000  0.0000  12 Pt 2.95-3.25
Pm  0.6667  0.3333  0.2754  9 Pt 2.95-3.21
Be  0.3333  0.6667  0.1487  6 Pt 2.20-2.25
Be  0.6667  0.3333  0.8513  6 Pt 2.20-2.25
Sn  0.0000  0.0000  0.5000  6 Pt 2.70
Pt  0.8384  0.1616  0.7163  1 Be 2.20
Pt  0.8384  0.6767  0.7163  1 Be 2.20
Pt  0.3233  0.1616  0.7163  1 Be 2.20
Pt  0.6767  0.8384  0.2837  1 Be 2.20
Pt  0.1616  0.3233  0.2837  1 Be 2.20
Pt  0.1616  0.8384  0.2837  1 Be 2.20
Pt  0.5000  0.0000  0.0000  2 Be 2.25
Pt  0.0000  0.5000  0.0000  2 Be 2.25
Pt  0.5000  0.5000  0.0000  2 Be 2.25